A relaxed LiNiAgW crystal, computed with PBE-GGA.

a = 4.230 Å, b = 4.230 Å, c = 4.230 Å
α = 60.00°, β = 60.00°, γ = 60.00°
Positions (direct):
W (0.000, 0.000, 0.000)
Ni (0.250, 0.250, 0.250)
Li (0.750, 0.750, 0.750)
Ag (0.500, 0.500, 0.500)

## Properties
- Energy: -0.199 hartree per atom
- Energy above the lowest structure with this stoichiometry: 0 meV per atom